(1)
{"formula": "Gd2ThHg", "functional": "GGA-PBE", "state": "relaxed", "cell": [[0.000, 3.881, 3.881], [3.881, 0.000, 3.881], [3.881, 3.881, 0.000]], "species": ["Gd", "Gd", "Th", "Hg"], "frac_coords": [[0.250, 0.250, 0.250], [0.750, 0.750, 0.750], [0.000, 0.000, 0.000], [0.500, 0.500, 0.500]], "total_energy_ev_per_fu": -35.73, "de_polymorph_ev_per_atom": 0.288, "formation_energy_mev_per_atom": 39, "mass_density_kg_m3": 10609}


(2)
{"formula": "Gd2ThHg", "functional": "GGA-PBE", "state": "relaxed", "cell": [[3.629, 0.000, 0.000], [0.000, 3.629, 0.000], [0.000, 0.000, 8.884]], "species": ["Gd", "Gd", "Th", "Hg"], "frac_coords": [[0.000, 0.000, 0.227], [0.000, 0.000, 0.773], [0.500, 0.500, 0.500], [0.500, 0.500, 0.000]], "total_energy_ev_per_fu": -36.88, "de_polymorph_ev_per_atom": 0.000, "formation_energy_mev_per_atom": -249, "mass_density_kg_m3": 10605}


(3)
{"formula": "GdThHg4", "functional": "GGA-PBE", "state": "relaxed", "cell": [[0.000, 4.240, 4.240], [4.240, 0.000, 4.240], [4.240, 4.240, 0.000]], "species": ["Gd", "Th", "Hg", "Hg", "Hg", "Hg"], "frac_coords": [[0.000, 0.000, 0.000], [0.250, 0.250, 0.250], [0.125, 0.625, 0.625], [0.625, 0.125, 0.625], [0.625, 0.625, 0.125], [0.625, 0.625, 0.625]], "total_energy_ev_per_fu": -23.68, "formation_energy_mev_per_atom": -162, "mass_density_kg_m3": 12981}